(w)
# meta-GGA SCAN TlRh2Pb, single point on PBEsol structure
# **Fermi-level density of states**: 3.4 states/eV/cell
data_TlRh2Pb
_chemical_formula_sum 'Tl1 Rh2 Pb1'
_cell_length_a 3.648
_cell_length_b 3.648
_cell_length_c 5.642
_cell_angle_alpha 90.00
_cell_angle_beta 90.00
_cell_angle_gamma 90.00
_symmetry_space_group_name_H-M 'P 1'
_symmetry_Int_Tables_number 1
_symmetry_space_group_name_Hall 'P 1'
loop_
_atom_site_label
_atom_site_type_symbol
_atom_site_fract_x
_atom_site_fract_y
_atom_site_fract_z
Tl1 Tl 0.000 0.000 0.000
Rh1 Rh 0.000 0.000 0.520
Rh2 Rh 0.500 0.500 0.847
Pb1 Pb 0.500 0.500 0.359


(x)
# meta-GGA SCAN TlRh2Pb, single point on PBEsol structure
# **Fermi-level density of states**: 3.2 states/eV/cell
data_TlRh2Pb
_chemical_formula_sum 'Tl2 Rh4 Pb2'
_cell_length_a 3.230
_cell_length_b 4.387
_cell_length_c 10.374
_cell_angle_alpha 90.00
_cell_angle_beta 90.00
_cell_angle_gamma 90.00
_symmetry_space_group_name_H-M 'P 1'
_symmetry_Int_Tables_number 1
_symmetry_space_group_name_Hall 'P 1'
loop_
_atom_site_label
_atom_site_type_symbol
_atom_site_fract_x
_atom_site_fract_y
_atom_site_fract_z
Tl1 Tl 0.000 0.000 0.000
Tl2 Tl 0.500 0.500 0.500
Rh1 Rh 0.000 0.000 0.507
Rh2 Rh 0.000 0.500 0.754
Rh3 Rh 0.500 0.000 0.254
Rh4 Rh 0.500 0.500 0.007
Pb1 Pb 0.000 0.500 0.231
Pb2 Pb 0.500 0.000 0.731


Relative to the most stable one, in kJ/mol of atoms, the structures come out at (w) 2.9; (x) 0.0.


(w)
# meta-GGA SCAN TlRh2Pb, single point on PBEsol structure
# **Fermi-level density of states**: 3.2 states/eV/cell
data_TlRh2Pb
_chemical_formula_sum 'Tl2 Rh4 Pb2'
_cell_length_a 8.124
_cell_length_b 3.311
_cell_length_c 5.710
_cell_angle_alpha 90.00
_cell_angle_beta 103.65
_cell_angle_gamma 90.00
_symmetry_space_group_name_H-M 'P 1'
_symmetry_Int_Tables_number 1
_symmetry_space_group_name_Hall 'P 1'
loop_
_atom_site_label
_atom_site_type_symbol
_atom_site_fract_x
_atom_site_fract_y
_atom_site_fract_z
Tl1 Tl 0.000 0.000 0.000
Tl2 Tl 0.500 0.500 0.000
Rh1 Rh 0.250 0.000 0.745
Rh2 Rh 0.250 0.500 0.255
Rh3 Rh 0.750 0.000 0.255
Rh4 Rh 0.750 0.500 0.745
Pb1 Pb 0.000 0.500 0.500
Pb2 Pb 0.500 0.000 0.500


(x)
# meta-GGA SCAN TlRh2Pb, single point on PBEsol structure
# **Fermi-level density of states**: 2.6 states/eV/cell
data_TlRh2Pb
_chemical_formula_sum 'Tl2 Rh4 Pb2'
_cell_length_a 10.191
_cell_length_b 3.209
_cell_length_c 4.533
_cell_angle_alpha 90.00
_cell_angle_beta 100.87
_cell_angle_gamma 90.00
_symmetry_space_group_name_H-M 'P 1'
_symmetry_Int_Tables_number 1
_symmetry_space_group_name_Hall 'P 1'
loop_
_atom_site_label
_atom_site_type_symbol
_atom_site_fract_x
_atom_site_fract_y
_atom_site_fract_z
Tl1 Tl 0.000 0.000 0.000
Tl2 Tl 0.500 0.500 0.000
Rh1 Rh 0.265 0.000 0.936
Rh2 Rh 0.482 0.000 0.497
Rh3 Rh 0.765 0.500 0.936
Rh4 Rh 0.982 0.500 0.497
Pb1 Pb 0.248 0.500 0.432
Pb2 Pb 0.748 0.000 0.432


Relative to the most stable one, in kJ/mol of atoms, the structures come out at (w) 3.8; (x) 0.0.


(w)
# meta-GGA SCAN RhPb2W, single point on PBEsol structure
# **Fermi-level density of states**: 2.5 states/eV/cell
data_RhPb2W
_chemical_formula_sum 'Rh1 Pb2 W1'
_cell_length_a 3.040
_cell_length_b 3.040
_cell_length_c 9.137
_cell_angle_alpha 90.00
_cell_angle_beta 90.00
_cell_angle_gamma 90.00
_symmetry_space_group_name_H-M 'P 1'
_symmetry_Int_Tables_number 1
_symmetry_space_group_name_Hall 'P 1'
loop_
_atom_site_label
_atom_site_type_symbol
_atom_site_fract_x
_atom_site_fract_y
_atom_site_fract_z
Rh1 Rh 0.000 0.000 0.000
Pb1 Pb 0.000 0.000 0.411
Pb2 Pb 0.500 0.500 0.766
W1 W 0.500 0.500 0.161


(x)
# meta-GGA SCAN RhPb2W, single point on PBEsol structure
# **Fermi-level density of states**: 6.9 states/eV/cell
data_RhPb2W
_chemical_formula_sum 'Rh2 Pb4 W2'
_cell_length_a 3.986
_cell_length_b 3.986
_cell_length_c 9.630
_cell_angle_alpha 90.00
_cell_angle_beta 90.00
_cell_angle_gamma 90.00
_symmetry_space_group_name_H-M 'P 1'
_symmetry_Int_Tables_number 1
_symmetry_space_group_name_Hall 'P 1'
loop_
_atom_site_label
_atom_site_type_symbol
_atom_site_fract_x
_atom_site_fract_y
_atom_site_fract_z
Rh1 Rh 0.000 0.000 0.000
Rh2 Rh 0.500 0.500 0.500
Pb1 Pb 0.000 0.000 0.500
Pb2 Pb 0.000 0.500 0.750
Pb3 Pb 0.500 0.000 0.250
Pb4 Pb 0.500 0.500 0.000
W1 W 0.000 0.500 0.250
W2 W 0.500 0.000 0.750


(y)
# meta-GGA SCAN RhPb2W, single point on PBEsol structure
# **Fermi-level density of states**: 6.0 states/eV/cell
data_RhPb2W
_chemical_formula_sum 'Rh2 Pb4 W2'
_cell_length_a 3.169
_cell_length_b 5.415
_cell_length_c 9.074
_cell_angle_alpha 90.00
_cell_angle_beta 90.00
_cell_angle_gamma 90.00
_symmetry_space_group_name_H-M 'P 1'
_symmetry_Int_Tables_number 1
_symmetry_space_group_name_Hall 'P 1'
loop_
_atom_site_label
_atom_site_type_symbol
_atom_site_fract_x
_atom_site_fract_y
_atom_site_fract_z
Rh1 Rh 0.000 0.000 0.000
Rh2 Rh 0.500 0.500 0.500
Pb1 Pb 0.000 0.500 0.263
Pb2 Pb 0.000 0.500 0.737
Pb3 Pb 0.500 0.000 0.237
Pb4 Pb 0.500 0.000 0.763
W1 W 0.000 0.000 0.500
W2 W 0.500 0.500 0.000


Relative to the most stable one, in kJ/mol of atoms, the structures come out at (w) 0.0; (x) 61.1; (y) 59.3.


(w)
# meta-GGA SCAN SiRu2Pb, single point on PBEsol structure
# **Fermi-level density of states**: 10.4 states/eV/cell
data_SiRu2Pb
_chemical_formula_sum 'Si4 Ru8 Pb4'
_cell_length_a 6.353
_cell_length_b 6.353
_cell_length_c 6.353
_cell_angle_alpha 90.00
_cell_angle_beta 90.00
_cell_angle_gamma 90.00
_symmetry_space_group_name_H-M 'P 1'
_symmetry_Int_Tables_number 1
_symmetry_space_group_name_Hall 'P 1'
loop_
_atom_site_label
_atom_site_type_symbol
_atom_site_fract_x
_atom_site_fract_y
_atom_site_fract_z
Si1 Si 0.000 0.000 0.000
Si2 Si 0.000 0.500 0.500
Si3 Si 0.500 0.000 0.500
Si4 Si 0.500 0.500 0.000
Ru1 Ru 0.000 0.000 0.500
Ru2 Ru 0.000 0.500 0.000
Ru3 Ru 0.250 0.250 0.750
Ru4 Ru 0.250 0.750 0.250
Ru5 Ru 0.500 0.000 0.000
Ru6 Ru 0.500 0.500 0.500
Ru7 Ru 0.750 0.250 0.250
Ru8 Ru 0.750 0.750 0.750
Pb1 Pb 0.250 0.250 0.250
Pb2 Pb 0.250 0.750 0.750
Pb3 Pb 0.750 0.250 0.750
Pb4 Pb 0.750 0.750 0.250


(x)
# meta-GGA SCAN SiRu2Pb, single point on PBEsol structure
# **Fermi-level density of states**: 3.4 states/eV/cell
data_SiRu2Pb
_chemical_formula_sum 'Si4 Ru8 Pb4'
_cell_length_a 6.236
_cell_length_b 6.236
_cell_length_c 6.236
_cell_angle_alpha 90.00
_cell_angle_beta 90.00
_cell_angle_gamma 90.00
_symmetry_space_group_name_H-M 'P 1'
_symmetry_Int_Tables_number 1
_symmetry_space_group_name_Hall 'P 1'
loop_
_atom_site_label
_atom_site_type_symbol
_atom_site_fract_x
_atom_site_fract_y
_atom_site_fract_z
Si1 Si 0.000 0.000 0.000
Si2 Si 0.000 0.500 0.500
Si3 Si 0.500 0.000 0.500
Si4 Si 0.500 0.500 0.000
Ru1 Ru 0.250 0.250 0.250
Ru2 Ru 0.250 0.250 0.750
Ru3 Ru 0.250 0.750 0.250
Ru4 Ru 0.250 0.750 0.750
Ru5 Ru 0.750 0.250 0.250
Ru6 Ru 0.750 0.250 0.750
Ru7 Ru 0.750 0.750 0.250
Ru8 Ru 0.750 0.750 0.750
Pb1 Pb 0.000 0.000 0.500
Pb2 Pb 0.000 0.500 0.000
Pb3 Pb 0.500 0.000 0.000
Pb4 Pb 0.500 0.500 0.500


Relative to the most stable one, in kJ/mol of atoms, the structures come out at (w) 47.7; (x) 0.0.